No. 1
Compound: YFeSiHg
Source: the Open Quantum Materials Database
Functional: PBE-GGA
Structure: optimized geometry

Values from the calculation:
electronic total energy	-5.112	eV/atom
polymorph energy (0 for the lowest one)	0	meV per atom

a b c (Å): 4.772 4.772 4.772
angles (deg): 60.00 60.00 60.00
Fractional positions:
Y  0.000  0.000  0.000
Fe  0.500  0.500  0.500
Si  0.250  0.250  0.250
Hg  0.750  0.750  0.750

No. 2
Compound: YFeSiHg
Source: the Open Quantum Materials Database
Functional: PBE-GGA
Structure: optimized geometry

Values from the calculation:
electronic total energy	-4.942	eV/atom
polymorph energy (0 for the lowest one)	170	meV per atom

a b c (Å): 4.753 4.753 4.753
angles (deg): 60.00 60.00 60.00
Fractional positions:
Y  0.000  0.000  0.000
Fe  0.750  0.750  0.750
Si  0.500  0.500  0.500
Hg  0.250  0.250  0.250

No. 3
Compound: ZnFeSiHg
Source: the Open Quantum Materials Database
Functional: PBE-GGA
Structure: optimized geometry

Values from the calculation:
electronic total energy	-3.346	eV/atom
polymorph energy (0 for the lowest one)	0	meV per atom

a b c (Å): 4.482 4.482 4.482
angles (deg): 60.00 60.00 60.00
Fractional positions:
Zn  0.000  0.000  0.000
Fe  0.500  0.500  0.500
Si  0.250  0.250  0.250
Hg  0.750  0.750  0.750

No. 4
Compound: ZnFeSiHg
Source: the Open Quantum Materials Database
Functional: PBE-GGA
Structure: optimized geometry

Values from the calculation:
electronic total energy	-3.321	eV/atom
polymorph energy (0 for the lowest one)	25	meV per atom

a b c (Å): 4.458 4.458 4.458
angles (deg): 60.00 60.00 60.00
Fractional positions:
Zn  0.000  0.000  0.000
Fe  0.750  0.750  0.750
Si  0.500  0.500  0.500
Hg  0.250  0.250  0.250

No. 5
Compound: Fe2SnHg
Source: the Open Quantum Materials Database
Functional: PBE-GGA
Structure: optimized geometry

Values from the calculation:
electronic total energy	-4.701	eV/atom

a b c (Å): 4.609 4.609 4.609
angles (deg): 60.00 60.00 60.00
Fractional positions:
Fe  0.000  0.000  0.000
Fe  0.250  0.250  0.250
Sn  0.500  0.500  0.500
Hg  0.750  0.750  0.750

No. 6
Compound: FeSnHg
Source: the Open Quantum Materials Database
Functional: PBE-GGA
Structure: optimized geometry

Values from the calculation:
electronic total energy	-3.886	eV/atom
polymorph energy (0 for the lowest one)	0	meV per atom

a b c (Å): 4.497 4.497 4.497
angles (deg): 60.00 60.00 60.00
Fractional positions:
Fe  0.000  0.000  0.000
Sn  0.250  0.250  0.250
Hg  0.750  0.750  0.750

No. 7
Compound: ZnFeSnHg
Source: the Open Quantum Materials Database
Functional: PBE-GGA
Structure: optimized geometry

Values from the calculation:
electronic total energy	-3.063	eV/atom
polymorph energy (0 for the lowest one)	0	meV per atom

a b c (Å): 4.748 4.748 4.748
angles (deg): 60.00 60.00 60.00
Fractional positions:
Zn  0.000  0.000  0.000
Fe  0.500  0.500  0.500
Sn  0.250  0.250  0.250
Hg  0.750  0.750  0.750

No. 8
Compound: ZrFeSnHg
Source: the Open Quantum Materials Database
Functional: PBE-GGA
Structure: optimized geometry

Values from the calculation:
electronic total energy	-5.111	eV/atom
polymorph energy (0 for the lowest one)	41	meV per atom

a b c (Å): 4.740 4.740 4.740
angles (deg): 60.00 60.00 60.00
Fractional positions:
Zr  0.000  0.000  0.000
Fe  0.750  0.750  0.750
Sn  0.500  0.500  0.500
Hg  0.250  0.250  0.250

Please write out number 6 again, unchanged.
Compound: FeSnHg
Source: the Open Quantum Materials Database
Functional: PBE-GGA
Structure: optimized geometry

Values from the calculation:
electronic total energy	-3.886	eV/atom
polymorph energy (0 for the lowest one)	0	meV per atom

a b c (Å): 4.497 4.497 4.497
angles (deg): 60.00 60.00 60.00
Fractional positions:
Fe  0.000  0.000  0.000
Sn  0.250  0.250  0.250
Hg  0.750  0.750  0.750

Which value of electronic total energy does entry 2 give?
-4.942 eV/atom